1.
# PBE Li2CoRe, optimized geometry
# Crystal system: monoclinic
# DOS(E_F) in states/eV/cell: 3.0
data_Li2CoRe
_chemical_formula_sum 'Li2 Co1 Re1'
_cell_length_a 2.547
_cell_length_b 3.953
_cell_length_c 5.388
_cell_angle_alpha 90.00
_cell_angle_beta 103.13
_cell_angle_gamma 90.00
_symmetry_space_group_name_H-M 'P 1 m 1'
_symmetry_Int_Tables_number 6
_symmetry_space_group_name_Hall 'P -2y'
loop_
_atom_site_label
_atom_site_fract_x
_atom_site_fract_y
_atom_site_fract_z
Li1 0.000 0.000 0.000
Li2 0.388 0.500 0.795
Co1 0.254 0.000 0.487
Re1 0.676 0.500 0.332

---

2.
# PBE Li2CoRe, optimized geometry
# Crystal system: tetragonal
# DOS(E_F) in states/eV/cell: 9.0
data_Li2CoRe
_chemical_formula_sum 'Li4 Co2 Re2'
_cell_length_a 3.392
_cell_length_b 3.392
_cell_length_c 8.969
_cell_angle_alpha 90.00
_cell_angle_beta 90.00
_cell_angle_gamma 90.00
_symmetry_space_group_name_H-M 'I 4/m m m'
_symmetry_Int_Tables_number 139
_symmetry_space_group_name_Hall '-I 4 2'
loop_
_atom_site_label
_atom_site_fract_x
_atom_site_fract_y
_atom_site_fract_z
Li1 0.000 0.500 0.250
Co1 0.000 0.000 0.000
Re1 0.000 0.000 0.500

---

Ordering by calculated energy gives the sequence 1, 2, with the first entry being the most stable.